A) A relaxed LiRe3As crystal. Source: Alexandria, functional PBE-GGA.

## Properties
Spin magnetization   0.00 μB/cell
Crystal system   cubic

Cell lengths 4.568, 4.568, 4.568 Å; angles 90.00, 90.00, 90.00 degrees
Fractional positions:
Li 0.000 0.000 0.000
Re 0.000 0.500 0.500
Re 0.500 0.000 0.500
Re 0.500 0.500 0.000
As 0.500 0.500 0.500

---

B) A relaxed LiRe3As crystal. Source: Alexandria, functional PBE-GGA.

## Properties
Spin magnetization   0.00 μB/cell
Crystal system   cubic

Cell lengths 4.193, 4.193, 4.193 Å; angles 90.00, 90.00, 90.00 degrees
Fractional positions:
Li 0.000 0.000 0.000
Re 0.000 0.000 0.500
Re 0.000 0.500 0.000
Re 0.500 0.000 0.000
As 0.500 0.500 0.500

---

Quick ranking, most stable first: A), B).

---

A) A relaxed LiAs2Rh crystal. Source: Alexandria, functional PBE-GGA.

## Properties
Spin magnetization   0.00 μB/cell
Crystal system   orthorhombic

Cell lengths 3.013, 3.926, 5.283 Å; angles 90.00, 90.00, 90.00 degrees
Fractional positions:
Li 0.000 0.000 0.000
As 0.000 0.000 0.482
As 0.500 0.500 0.834
Rh 0.500 0.500 0.315

---

B) A relaxed LiAs2Rh crystal. Source: Alexandria, functional PBE-GGA.

## Properties
Spin magnetization   0.00 μB/cell
Crystal system   trigonal

Cell lengths 7.857, 7.857, 7.857 Å; angles 23.52, 23.52, 23.52 degrees
Fractional positions:
Li 0.000 0.000 0.000
As 0.243 0.243 0.243
As 0.757 0.757 0.757
Rh 0.500 0.500 0.500

---

C) A relaxed LiAs2Rh crystal. Source: Alexandria, functional PBE-GGA.

## Properties
Spin magnetization   0.00 μB/cell
Crystal system   monoclinic

Cell lengths 2.907, 4.106, 5.453 Å; angles 90.00, 90.09, 90.00 degrees
Fractional positions:
Li 0.000 0.000 0.000
As 0.499 0.500 0.242
As 0.501 0.500 0.758
Rh 0.500 0.000 0.500

---

Quick ranking, most stable first: C), B), A).

---

A) A relaxed LiAs2Rh crystal. Source: Alexandria, functional PBE-GGA.

## Properties
Spin magnetization   0.00 μB/cell
Crystal system   tetragonal

Cell lengths 5.024, 5.024, 5.024 Å; angles 135.63, 135.63, 64.56 degrees
Fractional positions:
Li 0.000 0.000 0.000
As 0.500 0.500 0.000
As 0.750 0.250 0.500
Rh 0.250 0.750 0.500

---

B) A relaxed LiAs2Rh crystal. Source: Alexandria, functional PBE-GGA.

## Properties
Spin magnetization   0.00 μB/cell
Crystal system   tetragonal

Cell lengths 3.035, 3.035, 7.009 Å; angles 90.00, 90.00, 90.00 degrees
Fractional positions:
Li 0.000 0.000 0.000
As 0.500 0.500 0.276
As 0.500 0.500 0.724
Rh 0.000 0.000 0.500

---

C) A relaxed LiAs2Rh crystal. Source: Alexandria, functional PBE-GGA.

## Properties
Spin magnetization   0.00 μB/cell
Crystal system   monoclinic

Cell lengths 4.211, 4.211, 5.474 Å; angles 100.49, 100.49, 42.95 degrees
Fractional positions:
Li 0.000 0.000 0.000
As 0.240 0.240 0.729
As 0.760 0.760 0.271
Rh 0.500 0.500 0.500

---

D) A relaxed LiAs2Rh crystal. Source: Alexandria, functional PBE-GGA.

## Properties
Spin magnetization   0.00 μB/cell
Crystal system   tetragonal

Cell lengths 6.366, 6.366, 6.366 Å; angles 120.62, 120.62, 88.92 degrees
Fractional positions:
Li 0.000 0.000 0.000
Li 0.750 0.250 0.500
As 0.166 0.625 0.041
As 0.375 0.416 0.541
As 0.584 0.125 0.959
As 0.875 0.834 0.459
Rh 0.250 0.750 0.500
Rh 0.500 0.500 0.000

---

Quick ranking, most stable first: C), B), A), D).

---

A) A relaxed LiAs2Rh4 crystal. Source: Alexandria, functional PBE-GGA.

## Properties
Spin magnetization   0.00 μB/cell
Crystal system   orthorhombic

Cell lengths 17.192, 4.069, 5.894 Å; angles 90.00, 90.00, 90.00 degrees
Fractional positions:
Li 0.133 0.250 0.096
Li 0.367 0.750 0.596
Li 0.633 0.250 0.404
Li 0.867 0.750 0.904
As 0.050 0.750 0.249
As 0.196 0.250 0.676
As 0.304 0.750 0.176
As 0.450 0.250 0.749
As 0.550 0.750 0.251
As 0.696 0.250 0.824
As 0.804 0.750 0.324
As 0.950 0.250 0.751
Rh 0.037 0.750 0.850
Rh 0.066 0.250 0.517
Rh 0.179 0.750 0.412
Rh 0.201 0.750 0.899
Rh 0.299 0.250 0.399
Rh 0.321 0.250 0.912
Rh 0.434 0.750 0.017
Rh 0.463 0.250 0.350
Rh 0.537 0.750 0.650
Rh 0.566 0.250 0.983
Rh 0.679 0.750 0.088
Rh 0.701 0.750 0.601
Rh 0.799 0.250 0.101
Rh 0.821 0.250 0.588
Rh 0.934 0.750 0.483
Rh 0.963 0.250 0.150

---

B) A relaxed LiAs2Rh4 crystal. Source: Alexandria, functional PBE-GGA.

## Properties
Spin magnetization   0.00 μB/cell
Crystal system   tetragonal

Cell lengths 6.921, 6.921, 6.921 Å; angles 145.29, 145.29, 49.90 degrees
Fractional positions:
Li 0.000 0.000 0.000
As 0.375 0.375 0.000
As 0.625 0.625 0.000
Rh 0.000 0.500 0.500
Rh 0.192 0.192 0.000
Rh 0.500 0.000 0.500
Rh 0.808 0.808 0.000

---

Quick ranking, most stable first: A), B).

---

A) A relaxed Li3AsRh crystal. Source: Alexandria, functional PBE-GGA.

## Properties
Spin magnetization   1.05 μB/cell
Crystal system   cubic

Cell lengths 4.582, 4.582, 4.582 Å; angles 90.00, 90.00, 90.00 degrees
Fractional positions:
Li 0.000 0.000 0.500
Li 0.000 0.500 0.000
Li 0.500 0.000 0.000
As 0.000 0.000 0.000
Rh 0.500 0.500 0.500

---

B) A relaxed Li3AsRh crystal. Source: Alexandria, functional PBE-GGA.

## Properties
Spin magnetization   0.00 μB/cell
Crystal system   cubic

Cell lengths 4.487, 4.487, 4.487 Å; angles 90.00, 90.00, 90.00 degrees
Fractional positions:
Li 0.000 0.000 0.500
Li 0.000 0.500 0.000
Li 0.500 0.000 0.000
As 0.500 0.500 0.500
Rh 0.000 0.000 0.000

---

Quick ranking, most stable first: A), B).

---

A) A relaxed LiAsRu3 crystal. Source: Alexandria, functional PBE-GGA.

## Properties
Spin magnetization   2.75 μB/cell
Crystal system   cubic

Cell lengths 4.559, 4.559, 4.559 Å; angles 90.00, 90.00, 90.00 degrees
Fractional positions:
Li 0.000 0.000 0.000
As 0.500 0.500 0.500
Ru 0.000 0.500 0.500
Ru 0.500 0.000 0.500
Ru 0.500 0.500 0.000

---

B) A relaxed LiAsRu3 crystal. Source: Alexandria, functional PBE-GGA.

## Properties
Spin magnetization   1.23 μB/cell
Crystal system   cubic

Cell lengths 4.128, 4.128, 4.128 Å; angles 90.00, 90.00, 90.00 degrees
Fractional positions:
Li 0.000 0.000 0.000
As 0.500 0.500 0.500
Ru 0.000 0.000 0.500
Ru 0.000 0.500 0.000
Ru 0.500 0.000 0.000

---

Quick ranking, most stable first: A), B).

---

A) A relaxed Li3AsS crystal. Source: Alexandria, functional PBE-GGA.

## Properties
Spin magnetization   2.00 μB/cell
Crystal system   cubic

Cell lengths 4.602, 4.602, 4.602 Å; angles 90.00, 90.00, 90.00 degrees
Fractional positions:
Li 0.000 0.000 0.500
Li 0.000 0.500 0.000
Li 0.500 0.000 0.000
As 0.500 0.500 0.500
S 0.000 0.000 0.000

---

B) A relaxed Li3AsS crystal. Source: Alexandria, functional PBE-GGA.

## Properties
Spin magnetization   0.00 μB/cell
Crystal system   cubic

Cell lengths 4.726, 4.726, 4.726 Å; angles 90.00, 90.00, 90.00 degrees
Fractional positions:
Li 0.000 0.000 0.500
Li 0.000 0.500 0.000
Li 0.500 0.000 0.000
As 0.000 0.000 0.000
S 0.500 0.500 0.500

---

Quick ranking, most stable first: A), B).

---

A) A relaxed LiAs2SeS crystal. Source: Alexandria, functional PBE-GGA.

## Properties
Spin magnetization   0.77 μB/cell
Crystal system   tetragonal

Cell lengths 4.866, 4.866, 4.966 Å; angles 90.00, 90.00, 90.00 degrees
Fractional positions:
Li 0.000 0.000 0.000
As 0.000 0.500 0.500
As 0.500 0.000 0.500
Se 0.500 0.500 0.000
S 0.500 0.500 0.500

---

B) A relaxed LiAs2SeS crystal. Source: Alexandria, functional PBE-GGA.

## Properties
Spin magnetization   0.00 μB/cell
Crystal system   tetragonal

Cell lengths 4.813, 4.813, 4.206 Å; angles 90.00, 90.00, 90.00 degrees
Fractional positions:
Li 0.000 0.000 0.000
As 0.000 0.500 0.000
As 0.500 0.000 0.000
Se 0.000 0.000 0.500
S 0.500 0.500 0.500

---

Quick ranking, most stable first: A), B).